Record 1
# Hf5Ga4 | Alexandria via LeMat-Bulk | PBE | relaxed
data_Hf5Ga4
_chemical_formula_sum 'Hf5 Ga4'
_cell_length_a 3.1493
_cell_length_b 8.2832
_cell_length_c 8.2832
_cell_angle_alpha 87.93
_cell_angle_beta 79.04
_cell_angle_gamma 79.04
_space_group_name_H-M_alt 'P 1'
_space_group_IT_number 1
loop_
_space_group_symop_operation_xyz
'x,y,z'
loop_
_atom_site_label
_atom_site_fract_x
_atom_site_fract_y
_atom_site_fract_z
_atom_site_occupancy
Hf1 0.6314 0.6586 0.0787 1
Hf2 0.7101 0.9213 0.6586 1
Hf3 0.2899 0.0787 0.3414 1
Hf4 0.3686 0.3414 0.9213 1
Hf5 0.0000 0.0000 0.0000 1
Ga1 0.7361 0.3245 0.2033 1
Ga2 0.9394 0.7967 0.3245 1
Ga3 0.0606 0.2033 0.6755 1
Ga4 0.2639 0.6755 0.7967 1
# mass density = 9.339 g/cm³
# ΔE_f = -0.03 eV/atom
# final energy = -6.91 eV/atom


Record 2
# Hf2Ga | Alexandria via LeMat-Bulk | PBE | relaxed
data_Hf2Ga
_chemical_formula_sum 'Hf4 Ga2'
_cell_length_a 4.1921
_cell_length_b 5.8784
_cell_length_c 5.8798
_cell_angle_alpha 90.00
_cell_angle_beta 90.01
_cell_angle_gamma 89.99
_space_group_name_H-M_alt 'P 1'
_space_group_IT_number 1
loop_
_space_group_symop_operation_xyz
'x,y,z'
loop_
_atom_site_label
_atom_site_fract_x
_atom_site_fract_y
_atom_site_fract_z
_atom_site_occupancy
Hf1 0.5001 0.3096 0.6905 1
Hf2 0.0000 0.8096 0.8095 1
Hf3 0.0000 0.1904 0.1905 1
Hf4 0.4999 0.6904 0.3095 1
Ga1 0.0000 0.5000 0.5000 1
Ga2 0.5000 0.0000 0.0000 1
# mass density = 9.780 g/cm³
# ΔE_f = 0.38 eV/atom
# final energy = -7.27 eV/atom


Record 3
# HfGa | Alexandria via LeMat-Bulk | PBE | relaxed
data_HfGa
_chemical_formula_sum 'Hf16 Ga16'
_cell_length_a 6.5865
_cell_length_b 8.7501
_cell_length_c 10.8918
_cell_angle_alpha 90.00
_cell_angle_beta 90.00
_cell_angle_gamma 90.00
_space_group_name_H-M_alt 'P 1'
_space_group_IT_number 1
loop_
_space_group_symop_operation_xyz
'x,y,z'
loop_
_atom_site_label
_atom_site_fract_x
_atom_site_fract_y
_atom_site_fract_z
_atom_site_occupancy
Hf1 0.0000 0.7116 0.0000 1
Hf2 0.0000 0.2884 0.0000 1
Hf3 0.2500 0.0384 0.2500 1
Hf4 0.2500 0.4616 0.2500 1
Hf5 0.0000 0.2116 0.5000 1
Hf6 0.0000 0.7884 0.5000 1
Hf7 0.2500 0.5384 0.7500 1
Hf8 0.2500 0.9616 0.7500 1
Hf9 0.5000 0.7116 0.5000 1
Hf10 0.5000 0.2884 0.5000 1
Hf11 0.7500 0.0384 0.7500 1
Hf12 0.7500 0.4616 0.7500 1
Hf13 0.5000 0.2116 0.0000 1
Hf14 0.5000 0.7884 0.0000 1
Hf15 0.7500 0.5384 0.2500 1
Hf16 0.7500 0.9616 0.2500 1
Ga1 0.1915 0.0000 0.0000 1
Ga2 0.8085 0.0000 0.0000 1
Ga3 0.0585 0.7500 0.2500 1
Ga4 0.4415 0.7500 0.2500 1
Ga5 0.1915 0.5000 0.5000 1
Ga6 0.8085 0.5000 0.5000 1
Ga7 0.0585 0.2500 0.7500 1
Ga8 0.4415 0.2500 0.7500 1
Ga9 0.6915 0.0000 0.5000 1
Ga10 0.3085 0.0000 0.5000 1
Ga11 0.5585 0.7500 0.7500 1
Ga12 0.9415 0.7500 0.7500 1
Ga13 0.6915 0.5000 0.0000 1
Ga14 0.3085 0.5000 0.0000 1
Ga15 0.5585 0.2500 0.2500 1
Ga16 0.9415 0.2500 0.2500 1
# mass density = 10.506 g/cm³
# ΔE_f = -0.28 eV/atom
# final energy = -6.77 eV/atom


Record 4
# HfGa | Alexandria via LeMat-Bulk | PBE | relaxed
data_HfGa
_chemical_formula_sum 'Hf6 Ga6'
_cell_length_a 7.4488
_cell_length_b 7.4488
_cell_length_c 7.4488
_cell_angle_alpha 90.00
_cell_angle_beta 90.00
_cell_angle_gamma 90.00
_space_group_name_H-M_alt 'P 1'
_space_group_IT_number 1
loop_
_space_group_symop_operation_xyz
'x,y,z'
loop_
_atom_site_label
_atom_site_fract_x
_atom_site_fract_y
_atom_site_fract_z
_atom_site_occupancy
Hf1 0.2500 0.0000 0.5000 1
Hf2 0.7500 0.0000 0.5000 1
Hf3 0.0000 0.5000 0.2500 1
Hf4 0.0000 0.5000 0.7500 1
Hf5 0.5000 0.2500 0.0000 1
Hf6 0.5000 0.7500 0.0000 1
Ga1 0.2500 0.5000 0.0000 1
Ga2 0.7500 0.5000 0.0000 1
Ga3 0.5000 0.0000 0.2500 1
Ga4 0.5000 0.0000 0.7500 1
Ga5 0.0000 0.2500 0.5000 1
Ga6 0.0000 0.7500 0.5000 1
# mass density = 5.984 g/cm³
# ΔE_f = 1.04 eV/atom
# final energy = -5.45 eV/atom


Record 5
# Hf5Ga6 | Alexandria via LeMat-Bulk | PBE | relaxed
data_Hf5Ga6
_chemical_formula_sum 'Hf5 Ga6'
_cell_length_a 3.8134
_cell_length_b 3.8686
_cell_length_c 13.9534
_cell_angle_alpha 97.97
_cell_angle_beta 90.00
_cell_angle_gamma 90.00
_space_group_name_H-M_alt 'P 1'
_space_group_IT_number 1
loop_
_space_group_symop_operation_xyz
'x,y,z'
loop_
_atom_site_label
_atom_site_fract_x
_atom_site_fract_y
_atom_site_fract_z
_atom_site_occupancy
Hf1 0.5000 0.8041 0.6081 1
Hf2 0.5000 0.1959 0.3919 1
Hf3 0.0000 0.6203 0.2407 1
Hf4 0.0000 0.3797 0.7593 1
Hf5 0.0000 0.0000 0.0000 1
Ga1 0.5000 0.5425 0.0849 1
Ga2 0.5000 0.4575 0.9151 1
Ga3 0.0000 0.7205 0.4410 1
Ga4 0.0000 0.2795 0.5590 1
Ga5 0.5000 0.9038 0.8077 1
Ga6 0.5000 0.0962 0.1923 1
# mass density = 10.677 g/cm³
# relative energy among the computed polymorphs = 0 kJ/mol of formula units
# ΔE_f = -0.46 eV/atom
# final energy = -6.64 eV/atom


Record 6
# Hf3Ga2 | Alexandria via LeMat-Bulk | PBE | relaxed
data_Hf3Ga2
_chemical_formula_sum 'Hf12 Ga8'
_cell_length_a 3.8160
_cell_length_b 10.1483
_cell_length_c 10.6478
_cell_angle_alpha 90.00
_cell_angle_beta 90.00
_cell_angle_gamma 90.00
_space_group_name_H-M_alt 'P 1'
_space_group_IT_number 1
loop_
_space_group_symop_operation_xyz
'x,y,z'
loop_
_atom_site_label
_atom_site_fract_x
_atom_site_fract_y
_atom_site_fract_z
_atom_site_occupancy
Hf1 0.2500 0.6258 0.5445 1
Hf2 0.2500 0.8742 0.0444 1
Hf3 0.7500 0.3742 0.4555 1
Hf4 0.7500 0.1258 0.9556 1
Hf5 0.7500 0.0656 0.6262 1
Hf6 0.7500 0.4344 0.1262 1
Hf7 0.2500 0.9344 0.3738 1
Hf8 0.2500 0.5656 0.8738 1
Hf9 0.2500 0.2963 0.7172 1
Hf10 0.2500 0.2037 0.2172 1
Hf11 0.7500 0.7037 0.2828 1
Hf12 0.7500 0.7963 0.7828 1
Ga1 0.2500 0.1827 0.4819 1
Ga2 0.2500 0.3173 0.9818 1
Ga3 0.7500 0.8173 0.5181 1
Ga4 0.7500 0.6827 0.0182 1
Ga5 0.7500 0.5042 0.6913 1
Ga6 0.7500 0.9958 0.1913 1
Ga7 0.2500 0.4958 0.3087 1
Ga8 0.2500 0.0042 0.8087 1
# mass density = 10.872 g/cm³
# ΔE_f = -0.23 eV/atom
# final energy = -7.41 eV/atom


Record 7
# Hf2Ga | Alexandria via LeMat-Bulk | PBE | relaxed
data_Hf2Ga
_chemical_formula_sum 'Hf4 Ga2'
_cell_length_a 5.4290
_cell_length_b 5.4290
_cell_length_c 5.4290
_cell_angle_alpha 103.81
_cell_angle_beta 103.81
_cell_angle_gamma 121.51
_space_group_name_H-M_alt 'P 1'
_space_group_IT_number 1
loop_
_space_group_symop_operation_xyz
'x,y,z'
loop_
_atom_site_label
_atom_site_fract_x
_atom_site_fract_y
_atom_site_fract_z
_atom_site_occupancy
Hf1 0.6540 0.1540 0.8079 1
Hf2 0.8460 0.6540 0.5000 1
Hf3 0.1540 0.3460 0.5000 1
Hf4 0.3460 0.8460 0.1921 1
Ga1 0.7500 0.7500 0.0000 1
Ga2 0.2500 0.2500 0.0000 1
# mass density = 11.905 g/cm³
# ΔE_f = -0.40 eV/atom
# final energy = -8.05 eV/atom


Record 8
# HfGa4 | Alexandria via LeMat-Bulk | PBE | relaxed
data_HfGa4
_chemical_formula_sum 'Hf1 Ga4'
_cell_length_a 5.2535
_cell_length_b 5.2535
_cell_length_c 5.2535
_cell_angle_alpha 90.00
_cell_angle_beta 90.00
_cell_angle_gamma 90.00
_space_group_name_H-M_alt 'P 1'
_space_group_IT_number 1
loop_
_space_group_symop_operation_xyz
'x,y,z'
loop_
_atom_site_label
_atom_site_fract_x
_atom_site_fract_y
_atom_site_fract_z
_atom_site_occupancy
Hf1 0.5000 0.5000 0.5000 1
Ga1 0.0000 0.0000 0.0000 1
Ga2 0.5000 0.0000 0.5000 1
Ga3 0.0000 0.5000 0.5000 1
Ga4 0.5000 0.5000 0.0000 1
# mass density = 5.238 g/cm³
# relative energy among the computed polymorphs = 201 kJ/mol of formula units
# ΔE_f = 0.58 eV/atom
# final energy = -3.84 eV/atom


Record 9
# HfGa2 | Alexandria via LeMat-Bulk | PBE | relaxed
data_HfGa2
_chemical_formula_sum 'Hf1 Ga2'
_cell_length_a 3.8274
_cell_length_b 3.8274
_cell_length_c 5.3377
_cell_angle_alpha 118.19
_cell_angle_beta 118.19
_cell_angle_gamma 92.30
_space_group_name_H-M_alt 'P 1'
_space_group_IT_number 1
loop_
_space_group_symop_operation_xyz
'x,y,z'
loop_
_atom_site_label
_atom_site_fract_x
_atom_site_fract_y
_atom_site_fract_z
_atom_site_occupancy
Hf1 0.5000 0.5000 0.0000 1
Ga1 0.1821 0.1821 0.3136 1
Ga2 0.8179 0.8179 0.6864 1
# mass density = 9.238 g/cm³
# ΔE_f = -0.11 eV/atom
# final energy = -5.45 eV/atom


Record 10
# Hf11Ga10 | Alexandria via LeMat-Bulk | PBE | relaxed
data_Hf11Ga10
_chemical_formula_sum 'Hf22 Ga20'
_cell_length_a 10.3936
_cell_length_b 10.3936
_cell_length_c 10.3936
_cell_angle_alpha 120.23
_cell_angle_beta 120.23
_cell_angle_gamma 89.59
_space_group_name_H-M_alt 'P 1'
_space_group_IT_number 1
loop_
_space_group_symop_operation_xyz
'x,y,z'
loop_
_atom_site_label
_atom_site_fract_x
_atom_site_fract_y
_atom_site_fract_z
_atom_site_occupancy
Hf1 0.3214 0.3214 0.0000 1
Hf2 0.6786 0.6786 0.0000 1
Hf3 0.1746 0.1746 0.3493 1
Hf4 0.1746 0.8254 0.0000 1
Hf5 0.8254 0.1746 0.0000 1
Hf6 0.8254 0.8254 0.6507 1
Hf7 0.4387 0.1881 0.2507 1
Hf8 0.1881 0.9374 0.7493 1
Hf9 0.1881 0.4387 0.2507 1
Hf10 0.5613 0.8119 0.7493 1
Hf11 0.0626 0.8119 0.2507 1
Hf12 0.8119 0.0626 0.2507 1
Hf13 0.8119 0.5613 0.7493 1
Hf14 0.9374 0.1881 0.7493 1
Hf15 0.7301 0.3963 0.3337 1
Hf16 0.3963 0.0626 0.6663 1
Hf17 0.3963 0.7301 0.3337 1
Hf18 0.2699 0.6037 0.6663 1
Hf19 0.9374 0.6037 0.3337 1
Hf20 0.6037 0.9374 0.3337 1
Hf21 0.6037 0.2699 0.6663 1
Hf22 0.0626 0.3963 0.6663 1
Ga1 0.7500 0.2500 0.5000 1
Ga2 0.2500 0.7500 0.5000 1
Ga3 0.1075 0.1075 0.0000 1
Ga4 0.8925 0.8925 0.0000 1
Ga5 0.3725 0.3725 0.7449 1
Ga6 0.3725 0.6275 0.0000 1
Ga7 0.6275 0.3725 0.0000 1
Ga8 0.6275 0.6275 0.2551 1
Ga9 0.0000 0.3567 0.3567 1
Ga10 0.3567 0.0000 0.3567 1
Ga11 0.6433 0.0000 0.6433 1
Ga12 0.0000 0.6433 0.6433 1
Ga13 0.5336 0.5336 0.4133 1
Ga14 0.5336 0.1203 0.0000 1
Ga15 0.1203 0.5336 0.0000 1
Ga16 0.4664 0.8797 0.0000 1
Ga17 0.8797 0.4664 0.0000 1
Ga18 0.8797 0.8797 0.4133 1
Ga19 0.4664 0.4664 0.5867 1
Ga20 0.1203 0.1203 0.5867 1
# mass density = 11.170 g/cm³
# ΔE_f = -0.50 eV/atom
# final energy = -7.15 eV/atom


no.,D(E_F) (states/eV per cell)
1,9.4
2,5.2
3,20.6
4,9.5
5,6.3
6,19.7
7,5.6
8,6.3
9,1.8
10,22.0